An optimized crystal structure of Sr2EuVO6, computed with GGA+U.

Values from the calculation:
Energy: -7.5669 eV/atom
Fermi-level density of states: 0.903 states/eV per atom
Symmetry: Fm-3m, No. 225

Lattice parameters (Å, degrees): 5.8637 5.8637 5.8637 60.00 60.00 60.00
Fractional coordinates of all 10 atoms:
Sr1 0.2500 0.2500 0.2500
Sr2 0.7500 0.7500 0.7500
Eu1 0.0000 0.0000 0.0000
V1 0.5000 0.5000 0.5000
O1 0.2711 0.2711 0.7289
O2 0.2711 0.7289 0.2711
O3 0.2711 0.7289 0.7289
O4 0.7289 0.2711 0.2711
O5 0.7289 0.2711 0.7289
O6 0.7289 0.7289 0.2711